# 1
BaRe3Rh: relaxed, PBE.

Unit cell a=4.8554 b=4.8554 c=4.8554 alpha=90.00 beta=90.00 gamma=90.00
Fractional positions:
Re 0.0000 0.0000 0.5000
Re 0.5000 0.0000 0.0000
Re 0.0000 0.5000 0.0000
Rh 0.0000 0.0000 0.0000
Ba 0.5000 0.5000 0.5000

Output
Calculated volume = 114.46 Å³/f.u.
Energy above the most stable polymorph in this dataset = 0.0 kJ per mole of atoms
Calculated total energy = -37.1 eV for the cell shown
SG = Pm-3m, No. 221
Total magnetization = 1.2 μB per cell



# 2
Cd2TeP: relaxed, PBE.

Unit cell a=11.7613 b=11.7613 c=11.7613 alpha=15.03 beta=15.03 gamma=15.03
Fractional positions:
Te 0.7500 0.7500 0.7500
Cd 0.9865 0.9865 0.9865
Cd 0.5135 0.5135 0.5135
P 0.2500 0.2500 0.2500

Output
Calculated volume = 95.30 Å³/f.u.
Energy above the most stable polymorph in this dataset = 42.3 kJ per mole of atoms
Calculated total energy = -8.9 eV for the cell shown
SG = R-3m, No. 166
Formation energy (no corrections) = 0.3718 eV per atom
Total magnetization = 0.0 μB per cell



# 3
Al7Ag: relaxed, PBE.

Unit cell a=5.7376 b=5.7376 c=5.7376 alpha=120.00 beta=60.00 gamma=120.00
Fractional positions:
Al 0.5000 0.5000 0.0000
Al 0.5000 0.0000 0.0000
Al 0.5000 0.5000 0.5000
Al 0.0000 0.5000 0.0000
Al 0.0000 0.0000 0.5000
Al 0.0000 0.5000 0.5000
Al 0.5000 0.0000 0.5000
Ag 0.0000 0.0000 0.0000

Output
Calculated volume = 133.56 Å³/f.u.
Energy above the most stable polymorph in this dataset = 0.2 kJ per mole of atoms
Calculated total energy = -29.1 eV for the cell shown
SG = Fm-3m, No. 225
Total magnetization = 0.0 μB per cell



# 4
Dy2MnAu: relaxed, PBE.

Unit cell a=3.5763 b=3.5763 c=7.1184 alpha=90.00 beta=90.00 gamma=90.00
Fractional positions:
Dy 0.0000 0.0000 0.7540
Dy 0.0000 0.0000 0.2460
Mn 0.5000 0.5000 0.0000
Au 0.5000 0.5000 0.5000

Output
Calculated volume = 91.04 Å³/f.u.
Energy above the most stable polymorph in this dataset = 0.0 kJ per mole of atoms
Calculated total energy = -23.0 eV for the cell shown
SG = P4/mmm, No. 123
Total magnetization = 3.4 μB per cell